{"formula": "Tb2HfScSb4", "functional": "PBE", "state": "relaxed", "cell": [[-3.222, 2.776, 0.231], [-2.304, -2.117, -6.672], [-3.239, -4.188, 5.151]], "species": ["Sb", "Sb", "Sb", "Sb", "Hf", "Sc", "Tb", "Tb"], "frac_coords": [[0.000, 0.746, 0.233], [0.000, 0.254, 0.767], [0.500, 0.243, 0.232], [0.500, 0.757, 0.768], [0.000, 0.000, 0.000], [0.500, 0.500, 0.000], [0.500, 0.000, 0.500], [0.000, 0.500, 0.500]]}

{"formula": "HfScSb2Te", "functional": "PBE", "state": "relaxed", "cell": [[-3.236, -4.237, -1.304], [2.981, -3.275, 3.243], [-3.274, 1.202, 4.224]], "species": ["Sc", "Te", "Hf", "Sb", "Sb"], "frac_coords": [[0.500, 0.500, 0.500], [0.000, 0.000, 0.500], [0.000, 0.000, 0.000], [0.500, 0.000, 0.000], [0.000, 0.500, 0.000]]}

{"formula": "HfSc2SbTe", "functional": "PBE", "state": "relaxed", "cell": [[5.419, 0.000, 0.000], [0.000, 5.419, 0.000], [0.000, 0.000, 5.275]], "species": ["Sc", "Sc", "Sb", "Hf", "Te"], "frac_coords": [[0.000, 0.500, 0.000], [0.500, 0.000, 0.000], [0.000, 0.000, 0.500], [0.000, 0.000, 0.000], [0.500, 0.500, 0.500]]}

{"formula": "HfScTi2Sb", "functional": "PBE", "state": "relaxed", "cell": [[-3.432, 3.339, -0.467], [-0.836, -0.129, 5.226], [3.284, 3.462, 0.611]], "species": ["Sc", "Hf", "Sb", "Ti", "Ti"], "frac_coords": [[0.000, 0.500, 0.000], [0.000, 0.000, 0.000], [0.500, 0.500, 0.500], [0.500, 0.000, 0.000], [0.000, 0.000, 0.500]]}

{"formula": "Tm2HfScSb4", "functional": "PBE", "state": "relaxed", "cell": [[-3.398, 2.508, -0.018], [-4.300, -5.833, -0.972], [0.857, 1.211, 7.181]], "species": ["Sc", "Sb", "Sb", "Sb", "Sb", "Hf", "Tm", "Tm"], "frac_coords": [[0.500, 0.500, 0.000], [0.000, 0.747, 0.238], [0.000, 0.253, 0.762], [0.500, 0.245, 0.237], [0.500, 0.755, 0.763], [0.000, 0.000, 0.000], [0.000, 0.500, 0.500], [0.500, 0.000, 0.500]]}

{"formula": "TmHfSc2Sb4", "functional": "PBE", "state": "relaxed", "cell": [[4.188, 0.000, 0.000], [0.000, 7.256, 0.136], [0.000, -2.525, 6.781]], "species": ["Sc", "Sc", "Tm", "Sb", "Sb", "Sb", "Sb", "Hf"], "frac_coords": [[0.500, 0.000, 0.500], [0.000, 0.500, 0.500], [0.500, 0.500, 0.000], [0.500, 0.756, 0.748], [0.000, 0.759, 0.257], [0.000, 0.241, 0.743], [0.500, 0.244, 0.252], [0.000, 0.000, 0.000]]}

{"formula": "Y2HfScSb4", "functional": "PBE", "state": "relaxed", "cell": [[-2.160, 3.210, -1.763], [-6.265, -3.773, 0.806], [1.175, 4.098, 6.022]], "species": ["Y", "Y", "Sc", "Sb", "Sb", "Sb", "Sb", "Hf"], "frac_coords": [[0.500, 0.000, 0.500], [0.000, 0.500, 0.500], [0.500, 0.500, 0.000], [0.500, 0.243, 0.233], [0.000, 0.746, 0.233], [0.500, 0.757, 0.767], [0.000, 0.254, 0.767], [0.000, 0.000, 0.000]]}

{"formula": "HfSbSe3", "functional": "PBE", "state": "relaxed", "cell": [[5.202, 0.000, 0.000], [0.000, 5.202, 0.000], [0.000, 0.000, 5.202]], "species": ["Se", "Se", "Se", "Sb", "Hf"], "frac_coords": [[0.000, 0.500, 0.000], [0.000, 0.000, 0.500], [0.500, 0.000, 0.000], [0.000, 0.000, 0.000], [0.500, 0.500, 0.500]]}

{"formula": "Hf3SbSe", "functional": "PBE", "state": "relaxed", "cell": [[-4.344, -5.670, 4.096], [-0.326, 0.236, -8.842], [5.587, -4.516, -0.327]], "species": ["Hf", "Hf", "Hf", "Hf", "Hf", "Hf", "Hf", "Hf", "Hf", "Hf", "Hf", "Hf", "Se", "Se", "Se", "Se", "Sb", "Sb", "Sb", "Sb"], "frac_coords": [[0.371, 0.725, 0.844], [0.460, 0.404, 0.813], [0.778, 0.990, 0.001], [0.222, 0.010, 0.999], [0.629, 0.275, 0.156], [0.722, 0.010, 0.501], [0.040, 0.596, 0.313], [0.871, 0.725, 0.656], [0.129, 0.275, 0.344], [0.540, 0.596, 0.187], [0.960, 0.404, 0.687], [0.278, 0.990, 0.499], [0.468, 0.327, 0.440], [0.968, 0.327, 0.060], [0.032, 0.673, 0.940], [0.532, 0.673, 0.560], [0.567, 0.124, 0.781], [0.067, 0.124, 0.719], [0.433, 0.876, 0.219], [0.933, 0.876, 0.281]]}

{"formula": "HfSbSe", "functional": "PBE", "state": "relaxed", "cell": [[-2.740, -2.226, -0.718], [2.595, 0.510, -2.446], [3.717, -5.480, 2.800]], "species": ["Sb", "Hf", "Se"], "frac_coords": [[0.000, 0.000, 0.054], [0.667, 0.333, 0.362], [0.333, 0.667, 0.584]]}

Computed values of density of states at the Fermi level (unit: states/eV/atom) for the preceding records, in sequence: 0.182 0.845 1.004 1.445 0.177 0.182 0.188 1.090 0.750 0.460.
Computed values of formation energy from raw total energies (unit: eV/atom) for the preceding records, in sequence: -0.91 0.15 0.45 0.87 -0.87 -0.84 -0.92 0.57 -0.37 -0.74.